Entry 1:
Material: Nd3Zn4Ag2
Method: DFT, GGA-PBE
State: optimized geometry

a = 10.824 Å, b = 4.668 Å, c = 8.858 Å
α = 90.00°, β = 115.81°, γ = 90.00°
Space group C2/m (No. 12)
Inequivalent atoms, fractional coordinates:
Nd 0.000 0.000 0.000 (multiplicity 2)
Nd 0.167 0.500 0.668 (multiplicity 4)
Zn 0.049 0.000 0.386 (multiplicity 4)
Zn 0.227 0.500 0.056 (multiplicity 4)
Ag 0.111 0.500 0.277 (multiplicity 4)

Calculated values
As for the energy relative to the elements: -0.32 eV/atom. The calculation puts the raw total energy at -3.11 eV/atom.

Entry 2:
Material: NdZn2Ag2
Method: DFT, GGA-PBE
State: optimized geometry

a = 5.365 Å, b = 5.504 Å, c = 8.805 Å
α = 81.59°, β = 72.36°, γ = 60.98°
Space group P-1 (No. 2)
Inequivalent atoms, fractional coordinates:
Nd 0.126 0.250 0.248 (multiplicity 2)
Zn 0.252 0.749 0.995 (multiplicity 2)
Zn 0.499 0.749 0.506 (multiplicity 2)
Ag 0.200 0.101 0.750 (multiplicity 2)
Ag 0.451 0.601 0.250 (multiplicity 2)

Calculated values
As for the energy relative to the elements: -0.17 eV/atom. The calculation puts the raw total energy at -2.77 eV/atom.

Entry 3:
Material: NdZn4Ag
Method: DFT, GGA-PBE
State: optimized geometry

a = 8.324 Å, b = 16.423 Å, c = 3.384 Å
α = 90.00°, β = 90.00°, γ = 90.00°
Space group Pbam (No. 55)
Inequivalent atoms, fractional coordinates:
Nd 0.123 0.154 0.000 (multiplicity 4)
Zn 0.027 0.695 0.500 (multiplicity 4)
Zn 0.124 0.961 0.500 (multiplicity 4)
Zn 0.128 0.550 0.500 (multiplicity 4)
Zn 0.214 0.810 0.500 (multiplicity 4)
Ag 0.129 0.414 0.000 (multiplicity 4)

Calculated values
As for the energy relative to the elements: -0.17 eV/atom. The calculation puts the raw total energy at -2.29 eV/atom.

Entry 4:
Material: NdZn4Ag4
Method: DFT, GGA-PBE
State: optimized geometry

a = 8.615 Å, b = 8.615 Å, c = 4.698 Å
α = 90.00°, β = 90.00°, γ = 90.00°
Space group I4/m (No. 87)
Inequivalent atoms, fractional coordinates:
Nd 0.000 0.000 0.000 (multiplicity 2)
Zn 0.119 0.219 0.500 (multiplicity 8)
Ag 0.090 0.366 0.000 (multiplicity 8)

Calculated values
As for the energy relative to the elements: -0.06 eV/atom. The calculation puts the raw total energy at -2.42 eV/atom.